## Li2ZnMo (PBE)

Data for a relaxed Li2ZnMo crystal.

Results
As for the raw total energy: -3.78 eV/atom. The space-group type is No. 6. For the formation enthalpy at 0 K, the calculation gives 0.2074 eV per atom.

Cell lengths 2.5086, 4.7528, 5.0780 Å; angles 90.00, 90.15, 90.00 degrees
Closest atoms and distances in Å follow each position.
Sites, in units of the cell vectors:
1 Li 0.0000 0.0000 0.0000  6 Li 2.51-2.80, 2 Mo 2.79-2.80
2 Li 0.4997 0.5000 0.1566  6 Li 2.51-2.80, 2 Zn 2.73
3 Zn 0.0008 0.5000 0.6340  2 Zn 2.51, 2 Li 2.73, 4 Mo 2.76
4 Mo 0.4998 0.0000 0.5085  2 Mo 2.51, 4 Zn 2.76, 2 Li 2.79-2.80